Entry 1:
LaGaSb2: relaxed, PBE-GGA.

Summary:
Formation energy without anion corrections in eV/atom: -0.698

Cell: 4.4064 23.1013 4.4278 Å, 90.00 90.00 90.00°
Last column: nearest neighbours and their distance in Å.
Space group C222_1 (No. 20)
Unique sites:
La1 0.0000 0.1376 0.2500  8 Sb 3.32-3.41, 2 Ga 3.44
Ga1 0.1573 0.0000 0.0000  2 Ga 2.61, 2 Sb 2.79
Sb1 0.0000 0.2497 0.7500  4 Sb 3.12, 4 La 3.41
Sb2 0.0000 0.4107 0.2500  2 Ga 2.79


Entry 2:
LaGaSb3: relaxed, PBE-GGA.

Summary:
E above lowest polymorph in meV per atom: 544
Formation energy without anion corrections in eV/atom: 0.473

Cell: 6.0492 6.0492 6.0492 Å, 90.00 90.00 90.00°
Last column: nearest neighbours and their distance in Å.
Space group Pm-3m (No. 221)
Unique sites:
La1 0.0000 0.0000 0.0000  6 Sb 3.02
Ga1 0.5000 0.5000 0.5000  12 Sb 4.28
Sb1 0.0000 0.0000 0.5000  2 La 3.02


Entry 3:
LaGaSb: relaxed, PBE-GGA.

Summary:
E above lowest polymorph in meV per atom: 0
Formation energy without anion corrections in eV/atom: -0.676

Cell: 4.7780 4.7780 4.1906 Å, 90.00 90.00 120.00°
Last column: nearest neighbours and their distance in Å.
Space group P3m1 (No. 156)
Unique sites:
La1 0.0000 0.0000 0.0000  3 Ga 3.25, 6 Sb 3.40-3.53
Ga1 0.6667 0.3333 0.4108  3 Sb 2.80
Sb1 0.3333 0.6667 0.5266  3 Ga 2.80


Entry 4:
La5GaSb2: relaxed, PBE-GGA.

Summary:
Formation energy without anion corrections in eV/atom: -0.658

Cell: 10.2125 10.2610 9.1306 Å, 90.00 90.00 90.00°
Last column: nearest neighbours and their distance in Å.
Space group Fmm2 (No. 42)
Unique sites:
La1 0.0000 0.0000 0.0000  8 La 3.42-3.44, 4 Sb 3.62
La2 0.0000 0.2495 0.7500  4 Sb 3.42-3.43, 2 Ga 3.43-3.44, 6 La 3.43-3.62
La3 0.2492 0.0000 0.2501  2 Ga 3.42-3.43, 6 La 3.42-3.62, 4 Sb 3.43
Ga1 0.0000 0.0000 0.5001  8 La 3.42-3.44, 4 Sb 3.62
Sb1 0.2500 0.2500 0.0001  10 La 3.42-3.62, 2 Ga 3.62


Entry 5:
La2GaSb2: relaxed, PBE-GGA.

Summary:
E above lowest polymorph in meV per atom: 97
Formation energy without anion corrections in eV/atom: -0.745

Cell: 8.5415 8.5415 4.2769 Å, 90.00 90.00 90.00°
Last column: nearest neighbours and their distance in Å.
Space group P4/mbm (No. 127)
Unique sites:
La1 0.1459 0.3541 0.0000  6 Sb 3.16-3.39, 2 Ga 3.27, 1 La 3.53
Ga1 0.0000 0.0000 0.0000  4 La 3.27
Sb1 0.1618 0.6618 0.5000  6 La 3.16-3.39


Entry 6:
La3GaSb: relaxed, PBE-GGA.

Summary:
E above lowest polymorph in meV per atom: 0
Formation energy without anion corrections in eV/atom: -0.754

Cell: 8.5992 4.3040 8.9957 Å, 90.00 105.11 90.00°
Last column: nearest neighbours and their distance in Å.
Space group P2_1/m (No. 11)
Unique sites:
La1 0.1054 0.2500 0.2383  3 Ga 3.17-3.30, 2 Sb 3.32, 1 La 3.52
La2 0.2995 0.2500 0.9387  1 Ga 3.29, 3 Sb 3.31-3.34, 1 La 3.52
La3 0.3356 0.7500 0.5842  3 Ga 3.24-3.32, 3 Sb 3.28-3.38
Ga1 0.0555 0.2500 0.5901  2 Ga 2.71
Sb1 0.3968 0.7500 0.2284  8 La 3.28-3.38


Ordered total magnetic moment results: 0.00; 0.00; 0.00; 0.00; 0.00; 1.08; unit μB per formula unit.